# 1
The following is a PBE-GGA calculation of an optimized crystal structure of TlMo2Ir, from Alexandria via LeMat-Bulk.

Structure (POSCAR):
```
TlMo2Ir
1.0
-1.6323 2.0949 -1.8636
-2.5525 -2.0026 -0.0156
-2.3451 2.9473 5.3671
Mo Ir Tl
2 1 1
Cartesian
-0.0272 0.0342 0.0623 Mo
-2.6022 0.6869 0.2274 Mo
-3.8966 2.3137 3.1898 Ir
-1.1763 1.4783 2.6921 Tl
```

Space group   No. 99
Spin magnetization   0.0 μB/f.u.
Energy relative to the elements   0.414 eV per atom

# 2
The following is a PBE-GGA calculation of an optimized crystal structure of TlMo2Ir, from Alexandria via LeMat-Bulk.

Structure (POSCAR):
```
TlMo2Ir
1.0
3.9074 0.0000 0.0000
0.0000 3.9104 0.0000
0.0000 0.0000 4.4191
Ir Mo Tl
1 2 1
Cartesian
0.0000 1.9552 2.2095 Ir
0.0000 0.0000 0.0000 Mo
1.9537 1.9552 0.0000 Mo
1.9537 0.0000 2.2095 Tl
```

Space group   No. 123
Spin magnetization   0.0 μB/f.u.
Energy relative to the elements   0.495 eV per atom

Polymorph energy (0 for the lowest one) per entry: 95.5 176.2 meV per atom